First-principles (PBE) data for an optimized crystal structure of RbAgBiS3, as listed in Alexandria via LeMat-Bulk.

Unit cell a=7.7571 b=7.7571 c=7.4070 alpha=90.00 beta=90.00 gamma=120.00
Positions (direct):
Rb: 0.3333 0.6667 0.2500
Rb: 0.6667 0.3333 0.7500
Ag: 0.3333 0.6667 0.7500
Ag: 0.6667 0.3333 0.2500
Bi: 0.0000 0.0000 0.0000
Bi: 0.0000 0.0000 0.5000
S: 0.1550 0.3100 0.7500
S: 0.1550 0.8450 0.7500
S: 0.3100 0.1550 0.2500
S: 0.6900 0.8450 0.7500
S: 0.8450 0.1550 0.2500
S: 0.8450 0.6900 0.2500

Values from the calculation:
Space group = P6_3/mmc, No. 194

---

First-principles (PBE) data for an optimized crystal structure of Eu2BiI, as listed in Alexandria via LeMat-Bulk.

Unit cell a=5.8580 b=5.8580 c=3.9414 alpha=90.00 beta=90.00 gamma=90.00
Positions (direct):
Eu: 0.0000 0.5000 0.0000
Eu: 0.5000 0.0000 0.0000
Bi: 0.0000 0.0000 0.5000
I: 0.5000 0.5000 0.5000

Values from the calculation:
Space group = P4/mmm, No. 123

---

Final energy / eV/f.u.: -22.13; -29.93